(1)
{"formula": "CeY2BeN4", "functional": "PBE-GGA", "state": "optimized geometry", "lattice": [[1.702, -5.540, 0.000], [1.702, 5.540, 0.000], [0.000, 0.000, 11.367]], "species": ["Ce", "Ce", "Y", "Y", "Y", "Y", "Be", "Be", "N", "N", "N", "N", "N", "N", "N", "N"], "fractional_positions": [[0.097, 0.903, 0.750], [0.903, 0.097, 0.250], [0.368, 0.632, 0.554], [0.368, 0.632, 0.946], [0.632, 0.368, 0.054], [0.632, 0.368, 0.446], [0.185, 0.815, 0.250], [0.815, 0.185, 0.750], [0.000, 0.000, 0.000], [0.000, 0.000, 0.500], [0.271, 0.729, 0.132], [0.271, 0.729, 0.368], [0.443, 0.557, 0.750], [0.557, 0.443, 0.250], [0.729, 0.271, 0.632], [0.729, 0.271, 0.868]], "raw_formation_energy_mev_per_atom": -1375, "total_energy_ev_per_atom": -8.36, "crystal_system": "orthorhombic"}

(2)
{"formula": "HgTeBr2", "functional": "PBE-GGA", "state": "optimized geometry", "lattice": [[0.000, 3.773, 3.773], [3.773, 0.000, 3.773], [3.773, 3.773, 0.000]], "species": ["Hg", "Te", "Br", "Br"], "fractional_positions": [[0.000, 0.000, 0.000], [0.750, 0.750, 0.750], [0.250, 0.250, 0.250], [0.500, 0.500, 0.500]], "raw_formation_energy_mev_per_atom": 267, "total_energy_ev_per_atom": -1.43, "crystal_system": "cubic", "polymorph_energy_mev_per_atom": 477}

(3)
{"formula": "NdAl2Ni5", "functional": "PBE-GGA", "state": "optimized geometry", "lattice": [[-1.856, 3.300, 4.784], [1.856, -3.300, 4.784], [1.856, 3.300, -4.784]], "species": ["Nd", "Al", "Al", "Ni", "Ni", "Ni", "Ni", "Ni"], "fractional_positions": [[0.000, 0.000, 0.000], [0.259, 0.759, 0.500], [0.741, 0.241, 0.500], [0.177, 0.365, 0.813], [0.448, 0.635, 0.813], [0.500, 0.000, 0.500], [0.552, 0.365, 0.187], [0.823, 0.635, 0.187]], "total_energy_ev_per_atom": -5.51, "crystal_system": "orthorhombic"}

(4)
{"formula": "Cu2GeAu6", "functional": "PBE-GGA", "state": "optimized geometry", "lattice": [[5.807, -2.047, 0.000], [5.807, 2.047, 0.000], [-1.893, 0.000, 6.370]], "species": ["Cu", "Cu", "Ge", "Au", "Au", "Au", "Au", "Au", "Au"], "fractional_positions": [[0.061, 0.061, 0.363], [0.939, 0.939, 0.637], [0.500, 0.500, 0.000], [0.155, 0.155, 0.006], [0.285, 0.285, 0.665], [0.397, 0.397, 0.327], [0.603, 0.603, 0.673], [0.715, 0.715, 0.335], [0.845, 0.845, 0.994]], "total_energy_ev_per_atom": -3.59, "crystal_system": "monoclinic", "polymorph_energy_mev_per_atom": 0}